[1]
DFT (PBE) results for an optimized crystal structure of Hg2AsPb.

abc: 5.229 3.482 5.688
angles: 83.44 90.00 90.00
Fractional positions:
Pb 0.500 0.250 0.250
As 0.500 0.750 0.750
Hg 0.000 0.937 0.988
Hg 0.000 0.563 0.512

## Properties
**Symmetry**: P2/m, No. 10

[2]
DFT (PBE) results for an optimized crystal structure of Hg2AsPb.

abc: 8.191 8.191 6.584
angles: 51.53 51.53 90.00
Fractional positions:
Pb 0.000 0.000 0.000
Pb 0.750 0.250 0.500
As 0.500 0.500 0.000
As 0.250 0.750 0.500
Hg 0.590 0.125 0.250
Hg 0.160 0.625 0.250
Hg 0.375 0.410 0.750
Hg 0.875 0.840 0.750

## Properties
**Symmetry**: I-42d, No. 122

[3]
DFT (PBE) results for an optimized crystal structure of Hg2AsPb.

abc: 3.259 4.068 8.081
angles: 90.00 90.00 90.00
Fractional positions:
Pb 0.000 0.000 0.537
As 0.500 0.500 0.745
Hg 0.000 0.000 0.986
Hg 0.500 0.500 0.232

## Properties
**Symmetry**: Pmm2, No. 25

Energy of formation / eV per atom: 0.16, 0.14, 0.13